Density functional theory data (PBEsol) for an optimized crystal structure of NaNb3Te4O16.

Results
The value obtained for the formation energy (no corrections) is -1.77 eV/atom. Its volume is 14.12 Å³ per atom. The space group is P2_1/m, No. 11.

POSCAR file:
```
NaNb3Te4O16
1.0
6.555 0.000 0.020
0.000 7.447 0.000
-2.909 0.000 13.879
Na Nb Te O
2 6 8 32
direct
0.500 0.500 0.500 Na
0.500 0.000 0.500 Na
0.918 0.500 0.724 Nb
0.918 0.000 0.724 Nb
0.082 0.500 0.276 Nb
0.000 0.500 0.000 Nb
0.082 0.000 0.276 Nb
0.000 0.000 0.000 Nb
0.498 0.250 0.002 Te
0.413 0.250 0.721 Te
0.954 0.750 0.499 Te
0.409 0.750 0.713 Te
0.502 0.750 0.998 Te
0.046 0.250 0.501 Te
0.591 0.250 0.287 Te
0.587 0.750 0.279 Te
0.984 0.250 0.262 O
0.613 0.563 0.703 O
0.220 0.448 0.717 O
0.705 0.250 0.419 O
0.851 0.250 0.685 O
0.612 0.750 0.128 O
0.295 0.750 0.581 O
0.220 0.052 0.717 O
0.648 0.750 0.424 O
0.056 0.535 0.143 O
0.780 0.948 0.283 O
0.123 0.057 0.428 O
0.944 0.035 0.857 O
0.387 0.437 0.297 O
0.149 0.750 0.315 O
0.016 0.750 0.738 O
0.613 0.937 0.703 O
0.944 0.465 0.857 O
0.701 0.440 0.000 O
0.877 0.943 0.572 O
0.299 0.940 0.000 O
0.388 0.250 0.872 O
0.911 0.750 0.981 O
0.123 0.443 0.428 O
0.352 0.250 0.576 O
0.701 0.060 0.000 O
0.877 0.557 0.572 O
0.299 0.560 0.000 O
0.089 0.250 0.019 O
0.387 0.063 0.297 O
0.056 0.965 0.143 O
0.780 0.552 0.283 O
```